Entry 1:
# Pu2PdO

Pu2PdO after structural relaxation (PBE, the Alexandria database).

Summary:
calculated density	13.4	g/cm3
formation energy without anion corrections	-0.8524	eV/atom

Unit cell a=4.8135 b=4.8135 c=3.2559 alpha=90.00 beta=90.00 gamma=90.00
Space group P4/mmm (No. 123)
Asymmetric unit:
Pu1 0.0000 0.5000 0.0000 [2 per cell]
Pd1 0.0000 0.0000 0.5000 [1 per cell]
O1 0.5000 0.5000 0.5000 [1 per cell]



Entry 2:
# Pu2PdO

Pu2PdO after structural relaxation (PBE, the Alexandria database).

Summary:
calculated density	14.8	g/cm3
formation energy without anion corrections	-0.4763	eV/atom

Unit cell a=3.9947 b=3.9947 c=14.8831 alpha=90.00 beta=90.00 gamma=120.00
Space group R-3m (No. 166, hexagonal axes)
Asymmetric unit:
Pu1 0.0000 0.0000 0.2022 [6 per cell]
Pd1 0.0000 0.0000 0.0000 [3 per cell]
O1 0.0000 0.0000 0.5000 [3 per cell]